RuAu2Br6 (GGA-PBE, relaxed); ΔE_f (raw) = -15.1 kJ/mol of atoms; volume = 644 Å³ per cell; spin magnetization = 0.2180 μB per atom; DOS at the Fermi energy = 4.4 states/eV/f.u.
1.0
6.281 0.036 -0.319
-0.502 10.113 -0.435
0.093 -0.153 10.134
Au Br Ru
4 12 2
Cartesian
4.648 6.117 5.690
1.223 3.880 3.691
4.364 3.888 3.541
1.507 6.108 5.839
5.846 5.150 2.029
2.134 9.593 7.984
0.297 9.367 2.507
5.344 8.399 9.072
5.574 0.630 6.873
2.053 7.174 0.278
0.025 4.846 7.351
3.818 2.823 9.103
3.013 7.504 4.475
3.738 0.404 1.396
2.859 2.493 4.905
0.527 1.598 0.308
1.110 9.402 0.227
4.762 0.594 9.153